# 1
Material: AcPm3Pr2N6
Method: DFT, GGA-PBE
State: optimized geometry

a b c (Å): 6.3953 6.3953 6.3946
angles (deg): 99.57 99.57 120.01
Closest atoms and distances in Å follow each position.
Element x y z (fractional)
Ac 0.0000 0.0000 0.0000  6 N 2.68
Pm 0.1692 0.8308 0.5000  6 N 2.52-2.63
Pm 0.5000 0.5000 0.5000  6 N 2.54-2.60
Pm 0.8308 0.1692 0.5000  6 N 2.52-2.63
Pr 0.3338 0.6662 0.0000  6 N 2.61-2.63
Pr 0.6662 0.3338 0.0000  6 N 2.61-2.63
N 0.0863 0.4276 0.2585  3 Pm 2.52-2.60, 2 Pr 2.62-2.63, 1 Ac 2.68
N 0.2561 0.2561 0.7431  3 Pm 2.54-2.63, 2 Pr 2.61, 1 Ac 2.68
N 0.4276 0.0863 0.2585  3 Pm 2.52-2.60, 2 Pr 2.62-2.63, 1 Ac 2.68
N 0.5724 0.9137 0.7415  3 Pm 2.52-2.60, 2 Pr 2.62-2.63, 1 Ac 2.68
N 0.7439 0.7439 0.2569  3 Pm 2.54-2.63, 2 Pr 2.61, 1 Ac 2.68
N 0.9137 0.5724 0.7415  3 Pm 2.52-2.60, 2 Pr 2.62-2.63, 1 Ac 2.68

Properties
theoretical density	7.991	g/cm³
formation energy (no corrections)	-1301	meV/atom



# 2
Material: AcPmPtN2
Method: DFT, GGA-PBE
State: optimized geometry

a b c (Å): 5.7788 4.9579 6.9035
angles (deg): 90.00 96.59 90.00
Closest atoms and distances in Å follow each position.
Element x y z (fractional)
Ac 0.0000 0.0785 0.2500  4 N 2.61-2.74
Ac 0.0000 0.9215 0.7500  4 N 2.61-2.74
Pm 0.5000 0.4791 0.7500  4 N 2.49-2.54
Pm 0.5000 0.5209 0.2500  4 N 2.49-2.54
Pt 0.5000 0.0000 0.0000  2 N 2.11
Pt 0.5000 0.0000 0.5000  2 N 2.11
N 0.2356 0.2951 0.9890  1 Pt 2.11
N 0.2356 0.7049 0.4890  1 Pt 2.11
N 0.7644 0.2951 0.5110  1 Pt 2.11
N 0.7644 0.7049 0.0110  1 Pt 2.11

Properties
theoretical density	10.059	g/cm³
formation energy (no corrections)	-866	meV/atom



Look up the theoretical density of the second one.
10.059 g/cm³



Among the records above, which one has the lowest formation energy (no corrections)?
AcPm3Pr2N6



Which of these has the lowest formation energy (no corrections)?
AcPm3Pr2N6



Repeat the second record exactly.
Material: AcPmPtN2
Method: DFT, GGA-PBE
State: optimized geometry

a b c (Å): 5.7788 4.9579 6.9035
angles (deg): 90.00 96.59 90.00
Closest atoms and distances in Å follow each position.
Element x y z (fractional)
Ac 0.0000 0.0785 0.2500  4 N 2.61-2.74
Ac 0.0000 0.9215 0.7500  4 N 2.61-2.74
Pm 0.5000 0.4791 0.7500  4 N 2.49-2.54
Pm 0.5000 0.5209 0.2500  4 N 2.49-2.54
Pt 0.5000 0.0000 0.0000  2 N 2.11
Pt 0.5000 0.0000 0.5000  2 N 2.11
N 0.2356 0.2951 0.9890  1 Pt 2.11
N 0.2356 0.7049 0.4890  1 Pt 2.11
N 0.7644 0.2951 0.5110  1 Pt 2.11
N 0.7644 0.7049 0.0110  1 Pt 2.11

Properties
theoretical density	10.059	g/cm³
formation energy (no corrections)	-866	meV/atom